(1)
SCAN PtRhCl, single point on PBEsol structure; DOS at the Fermi energy = 2.574 states/eV/cell; magnetization = 0.00 μB/f.u.; space group = No. 42
1.0
0.000 2.511 6.549
1.385 0.000 6.549
1.385 2.511 0.000
Pt Rh Cl
1 1 1
Direct
0.000 0.000 0.000
0.670 0.670 0.330
0.317 0.317 0.683

(2)
SCAN PtRhCl, single point on PBEsol structure; DOS at the Fermi energy = 2.822 states/eV/cell; magnetization = 2.00 μB/f.u.; space group = No. 216
1.0
0.000 2.897 2.897
2.897 0.000 2.897
2.897 2.897 0.000
Pt Rh Cl
1 1 1
Direct
0.000 0.000 0.000
0.500 0.500 0.500
0.250 0.250 0.250

Which of them is most stable? Easy: (1).

(1)
SCAN TaPtSCl2, single point on PBEsol structure; DOS at the Fermi energy = 4.052 states/eV/cell; magnetization = 0.64 μB/f.u.; space group = No. 123
1.0
4.647 0.000 0.000
0.000 4.647 0.000
0.000 0.000 4.778
Ta Pt S Cl
1 1 1 2
Direct
0.000 0.000 0.000
0.500 0.500 0.500
0.000 0.000 0.500
0.000 0.500 0.000
0.500 0.000 0.000

(2)
SCAN TaPtSCl2, single point on PBEsol structure; DOS at the Fermi energy = 4.207 states/eV/cell; magnetization = 3.04 μB/f.u.; space group = No. 123
1.0
4.634 0.000 0.000
0.000 4.634 0.000
0.000 0.000 4.778
Ta Pt S Cl
1 1 1 2
Direct
0.000 0.000 0.000
0.500 0.500 0.500
0.500 0.500 0.000
0.000 0.500 0.500
0.500 0.000 0.500

Which of them is most stable? Easy: (1).